# Y2Pu3NpTe6, optimized geometry, DFT GGA-PBE
data_Y2Pu3NpTe6
_chemical_formula_sum 'Y2 Pu3 Np1 Te6'
_space_group_name_H-M_alt 'P 1'
_space_group_IT_number 1
_space_group_name_Hall 'P 1'
_cell_length_a 3.969
_cell_length_b 17.574
_cell_length_c 9.174
_cell_angle_alpha 38.56
_cell_angle_beta 102.49
_cell_angle_gamma 90.00
loop_
_atom_site_label
_atom_site_type_symbol
_atom_site_fract_x
_atom_site_fract_y
_atom_site_fract_z
Te1 Te 0.609 0.069 0.218
Te2 Te 0.032 0.629 0.063
Y1 Y 0.703 0.160 0.407
Pu1 Pu 0.333 0.365 0.667
Pu2 Pu 0.667 0.635 0.333
Y2 Y 0.297 0.840 0.593
Np1 Np 0.500 0.000 0.000
Te3 Te 0.233 0.278 0.466
Te4 Te 0.391 0.931 0.782
Pu3 Pu 0.500 0.500 0.000
Te5 Te 0.767 0.722 0.534
Te6 Te 0.968 0.371 0.937
# Formation energy (no corrections) ... -0.85 eV/atom
# N(E_F) ... 39.0 states/eV/cell



# PuNpTi2, optimized geometry, DFT GGA-PBE
data_PuNpTi2
_chemical_formula_sum 'Pu1 Np1 Ti2'
_space_group_name_H-M_alt 'P 1'
_space_group_IT_number 1
_space_group_name_Hall 'P 1'
_cell_length_a 2.904
_cell_length_b 2.904
_cell_length_c 9.292
_cell_angle_alpha 90.00
_cell_angle_beta 90.00
_cell_angle_gamma 90.00
loop_
_atom_site_label
_atom_site_type_symbol
_atom_site_fract_x
_atom_site_fract_y
_atom_site_fract_z
Ti1 Ti 0.000 0.000 0.247
Pu1 Pu 0.500 0.500 0.500
Ti2 Ti 0.000 0.000 0.753
Np1 Np 0.500 0.500 0.000
# Energy of formation ... 0.267 eV per atom
# N(E_F) ... 11.0 states/eV/cell



# Pu2NpTl, optimized geometry, DFT GGA-PBE
data_Pu2NpTl
_chemical_formula_sum 'Pu2 Np1 Tl1'
_space_group_name_H-M_alt 'P 1'
_space_group_IT_number 1
_space_group_name_Hall 'P 1'
_cell_length_a 3.693
_cell_length_b 3.693
_cell_length_c 9.167
_cell_angle_alpha 78.38
_cell_angle_beta 78.38
_cell_angle_gamma 60.00
loop_
_atom_site_label
_atom_site_type_symbol
_atom_site_fract_x
_atom_site_fract_y
_atom_site_fract_z
Pu1 Pu 0.881 0.881 0.356
Pu2 Pu 0.119 0.119 0.644
Tl1 Tl 0.000 0.000 0.000
Np1 Np 0.500 0.500 0.500
# Energy of formation ... 0.490 eV per atom
# N(E_F) ... 10.9 states/eV/cell